Ca2CuNiHg: optimized geometry, PBE-GGA.

a = 5.736 Å, b = 5.736 Å, c = 4.716 Å
α = 90.00°, β = 90.00°, γ = 90.00°
Atoms (fractional coordinates):
Ca 0.000 0.500 0.000
Ca 0.500 0.000 0.000
Cu 0.000 0.000 0.500
Ni 0.500 0.500 0.500
Hg 0.500 0.500 0.000

Output
The space group is P4/mmm, No. 123. The total energy is -11.84 eV per formula unit.

***

MgTiCd: optimized geometry, PBE-GGA.

a = 3.010 Å, b = 3.010 Å, c = 7.638 Å
α = 90.00°, β = 90.00°, γ = 120.00°
Atoms (fractional coordinates):
Mg 0.000 0.000 0.000
Ti 0.333 0.667 0.671
Cd 0.667 0.333 0.344

Output
The space group is P3m1, No. 156. The total energy is -10.10 eV per formula unit.

***

AlInPt2: optimized geometry, PBE-GGA.

a = 7.157 Å, b = 7.157 Å, c = 5.657 Å
α = 90.00°, β = 90.00°, γ = 90.00°
Atoms (fractional coordinates):
Al 0.000 0.000 0.000
Al 0.000 0.500 0.250
Al 0.500 0.000 0.750
Al 0.500 0.500 0.500
In 0.000 0.000 0.500
In 0.000 0.500 0.750
In 0.500 0.000 0.250
In 0.500 0.500 0.000
Pt 0.210 0.250 0.125
Pt 0.250 0.710 0.375
Pt 0.250 0.790 0.875
Pt 0.290 0.250 0.625
Pt 0.710 0.750 0.625
Pt 0.750 0.210 0.875
Pt 0.750 0.290 0.375
Pt 0.790 0.750 0.125

Output
The space group is I-42d, No. 122. The total energy is -20.28 eV per formula unit.

***

MnOsRu2: optimized geometry, PBE-GGA.

a = 2.697 Å, b = 3.783 Å, c = 5.336 Å
α = 90.00°, β = 90.00°, γ = 90.00°
Atoms (fractional coordinates):
Mn 0.000 0.000 0.000
Os 0.000 0.000 0.500
Ru 0.500 0.500 0.246
Ru 0.500 0.500 0.754

Output
The space group is Pmmm, No. 47. The total energy is -38.61 eV per formula unit. The energy above the most stable polymorph in this dataset is 8 meV/atom.